[1]
Cs3AgBi | PBE | relaxed

abc: 13.7573 11.2307 9.1145
angles: 90.00 128.79 90.00
Space group C2/m (No. 12)
Asymmetric unit:
1 Cs 0.0622 0.0000 0.2927 x4
2 Cs 0.2124 0.2998 0.1902 x8
3 Ag 0.2140 0.5000 0.8432 x4
4 Bi 0.0639 0.5000 0.4020 x4

For the energy above the most stable polymorph in this dataset, the calculation gives 0.201 eV per atom. The calculation puts the spin magnetization at 0.00 μB per cell. The value obtained for the energy relative to the elements is -0.179 eV/f.u. The total energy is -1.89 eV/atom.



[2]
Sm8C3Cl3O | PBE | relaxed

abc: 12.9046 7.4376 8.0233
angles: 90.00 122.48 90.00
Space group C2/m (No. 12)
Asymmetric unit:
1 Sm 0.0187 0.2445 0.3007 x8
2 Sm 0.2326 0.0000 0.6975 x4
3 Sm 0.2365 0.5000 0.6990 x4
4 C 0.0000 0.0000 0.5000 x2
5 C 0.2500 0.2500 0.5000 x4
6 Cl 0.0000 0.5000 0.0000 x2
7 Cl 0.2500 0.2500 0.0000 x4
8 O 0.0000 0.5000 0.5000 x2

The calculation puts the spin magnetization at 0.00 μB per cell. The formation energy from raw total energies is -1.173 eV per atom. The total energy is -6.23 eV/atom.



[3]
Ac3Nd2HoTe6 | PBE | relaxed

abc: 20.1062 4.5378 9.2824
angles: 90.00 104.58 90.00
Space group C2/m (No. 12)
Asymmetric unit:
1 Ac 0.0000 0.0000 0.0000 x2
2 Ac 0.1706 0.5000 0.3355 x4
3 Nd 0.1687 0.5000 0.8361 x4
4 Ho 0.0000 0.0000 0.5000 x2
5 Te 0.0020 0.5000 0.7318 x4
6 Te 0.1579 0.0000 0.5893 x4
7 Te 0.1689 0.0000 0.0753 x4

The calculation puts the spin magnetization at 0.00 μB per cell. The formation energy from raw total energies is -1.424 eV per atom. The total energy is -5.20 eV/atom.



[4]
ZrTe5Au | PBE | relaxed

abc: 14.4123 8.9438 9.9650
angles: 90.00 128.48 90.00
Space group C2/c (No. 15)
Asymmetric unit:
1 Zr 0.0000 0.0590 0.2500 x4
2 Te 0.0000 0.3827 0.2500 x4
3 Te 0.0362 0.1819 0.5662 x8
4 Te 0.2280 0.0534 0.8783 x8
5 Au 0.0000 0.5000 0.0000 x4

The calculation puts the spin magnetization at 0.00 μB per cell. The formation energy from raw total energies is -0.224 eV per atom. The total energy is -4.16 eV/atom.



[5]
CuNi2Ru | PBE | relaxed

abc: 3.5948 3.5948 7.4703
angles: 90.00 90.00 90.00
Space group I-4m2 (No. 119)
Asymmetric unit:
1 Cu 0.0000 0.0000 0.0000 x2
2 Ni 0.0000 0.0000 0.5000 x2
3 Ni 0.0000 0.5000 0.7500 x2
4 Ru 0.0000 0.5000 0.2500 x2

For the energy above the most stable polymorph in this dataset, the calculation gives 0.094 eV per atom. The calculation puts the spin magnetization at 4.65 μB per cell. The value obtained for the energy relative to the elements is 0.720 eV/f.u. The total energy is -6.05 eV/atom.



[6]
AsWSe2 | PBE | relaxed

abc: 3.2359 3.2359 27.2084
angles: 90.00 90.00 120.00
Space group R3m (No. 160, hexagonal axes)
Asymmetric unit:
1 As 0.0000 0.0000 0.0000 x3
2 W 0.0000 0.0000 0.2647 x3
3 Se 0.0000 0.0000 0.5351 x3
4 Se 0.0000 0.0000 0.7424 x3

The calculation puts the spin magnetization at 0.00 μB per cell. The formation energy from raw total energies is 0.060 eV per atom. The total energy is -6.08 eV/atom.



[7]
LiYBr | PBE | relaxed

abc: 3.6569 3.6569 6.8741
angles: 90.00 90.00 120.00
Space group P3m1 (No. 156)
Asymmetric unit:
1 Li 0.0000 0.0000 0.0000 x1
2 Y 0.6667 0.3333 0.3950 x1
3 Br 0.3333 0.6667 0.7077 x1

For the energy above the most stable polymorph in this dataset, the calculation gives 0.066 eV per atom. The calculation puts the spin magnetization at 0.99 μB per cell. The formation energy from raw total energies is -0.690 eV per atom. The total energy is -4.04 eV/atom.



[8]
KCuCl2 | PBE | relaxed

abc: 3.4605 3.4605 7.1829
angles: 90.00 90.00 90.00
Space group P4/mmm (No. 123)
Asymmetric unit:
1 K 0.0000 0.0000 0.0000 x1
2 Cu 0.0000 0.0000 0.5000 x1
3 Cl 0.5000 0.5000 0.2793 x2

For the energy above the most stable polymorph in this dataset, the calculation gives 0.411 eV per atom. The calculation puts the spin magnetization at 0.13 μB per cell. The formation energy from raw total energies is -0.792 eV per atom. The total energy is -3.01 eV/atom.



Copy entry 7 word for word.
LiYBr | PBE | relaxed

abc: 3.6569 3.6569 6.8741
angles: 90.00 90.00 120.00
Space group P3m1 (No. 156)
Asymmetric unit:
1 Li 0.0000 0.0000 0.0000 x1
2 Y 0.6667 0.3333 0.3950 x1
3 Br 0.3333 0.6667 0.7077 x1

For the energy above the most stable polymorph in this dataset, the calculation gives 0.066 eV per atom. The calculation puts the spin magnetization at 0.99 μB per cell. The formation energy from raw total energies is -0.690 eV per atom. The total energy is -4.04 eV/atom.



Copy entry 7 word for word.
LiYBr | PBE | relaxed

abc: 3.6569 3.6569 6.8741
angles: 90.00 90.00 120.00
Space group P3m1 (No. 156)
Asymmetric unit:
1 Li 0.0000 0.0000 0.0000 x1
2 Y 0.6667 0.3333 0.3950 x1
3 Br 0.3333 0.6667 0.7077 x1

For the energy above the most stable polymorph in this dataset, the calculation gives 0.066 eV per atom. The calculation puts the spin magnetization at 0.99 μB per cell. The formation energy from raw total energies is -0.690 eV per atom. The total energy is -4.04 eV/atom.